a:
VASP calculation (GGA-PBE) on a relaxed structure of BaZn3Ir.

Values from the calculation:
- space group = Pm-3m (221)
- spin magnetization (μB per atom) = 0.001
- volume (Å³/f.u.) = 118.8

Unit cell a=4.915 b=4.915 c=4.915 alpha=90.00 beta=90.00 gamma=90.00
Fractional positions:
Ba: 0.000 0.000 0.000
Zn: 0.000 0.500 0.500
Zn: 0.500 0.000 0.500
Zn: 0.500 0.500 0.000
Ir: 0.500 0.500 0.500

b:
VASP calculation (GGA-PBE) on a relaxed structure of BaZn3Ir.

Values from the calculation:
- space group = Imma (74)
- spin magnetization (μB per atom) = 0.000
- volume (Å³/f.u.) = 115.9

Unit cell a=6.885 b=6.885 c=6.885 alpha=121.53 beta=90.66 gamma=117.74
Fractional positions:
Ba: 0.326 0.076 0.250
Ba: 0.674 0.924 0.750
Zn: 0.186 0.436 0.750
Zn: 0.214 0.000 0.714
Zn: 0.214 0.500 0.214
Zn: 0.786 0.000 0.286
Zn: 0.786 0.500 0.786
Zn: 0.814 0.564 0.250
Ir: 0.000 0.500 0.500
Ir: 0.500 0.500 0.000

b wins, 11 meV per atom ahead of the next structure.

a:
VASP calculation (GGA-PBE) on a relaxed structure of KBaTbSe3.

Values from the calculation:
- space group = P2_1/m (11)
- spin magnetization (μB per atom) = 0.000
- volume (Å³/f.u.) = 194.0

Unit cell a=7.617 b=4.320 c=12.067 alpha=90.00 beta=102.30 gamma=90.00
Fractional positions:
K: 0.129 0.250 0.135
K: 0.871 0.750 0.865
Ba: 0.365 0.250 0.822
Ba: 0.635 0.750 0.178
Tb: 0.234 0.750 0.457
Tb: 0.766 0.250 0.543
Se: 0.029 0.750 0.631
Se: 0.273 0.750 0.989
Se: 0.444 0.250 0.367
Se: 0.556 0.750 0.633
Se: 0.727 0.250 0.011
Se: 0.971 0.250 0.369

b:
VASP calculation (GGA-PBE) on a relaxed structure of KBaTbSe3.

Values from the calculation:
- space group = Cmcm (63)
- spin magnetization (μB per atom) = 0.003
- volume (Å³/f.u.) = 276.9

Unit cell a=10.480 b=10.480 c=12.371 alpha=90.00 beta=90.00 gamma=155.94
Fractional positions:
K: 0.113 0.887 0.750
K: 0.887 0.113 0.250
Ba: 0.112 0.888 0.250
Ba: 0.888 0.112 0.750
Tb: 0.500 0.500 0.000
Tb: 0.500 0.500 0.500
Se: 0.095 0.905 0.501
Se: 0.095 0.905 0.999
Se: 0.495 0.505 0.750
Se: 0.505 0.495 0.250
Se: 0.905 0.095 0.001
Se: 0.905 0.095 0.499

a wins, 122 meV per atom ahead of the next structure.